Here is a PBEsol-optimized structure of Fe2SiIr from the Alexandria database. Energies are from SCAN.

abc: 2.625 3.685 4.936
angles: 90.00 94.80 90.00
Space group P2/m (No. 10)
Asymmetric unit:
Fe1 0.040 0.000 0.264 [2 per cell]
Si1 0.500 0.500 0.500 [1 per cell]
Ir1 0.500 0.500 0.000 [1 per cell]



Here is a PBEsol-optimized structure of Fe2SiIr from the Alexandria database. Energies are from SCAN.

abc: 3.531 3.531 3.864
angles: 90.00 90.00 90.00
Space group P4/mmm (No. 123)
Asymmetric unit:
Fe1 0.000 0.500 0.000 [2 per cell]
Si1 0.000 0.000 0.500 [1 per cell]
Ir1 0.500 0.500 0.500 [1 per cell]



Here is a PBEsol-optimized structure of Fe3Si4Ir from the Alexandria database. Energies are from SCAN.

abc: 6.3580 6.3580 7.8227
angles: 90.00 90.00 120.00
Space group R3 (No. 146, hexagonal axes)
Asymmetric unit:
Fe1 0.0167 0.2571 0.0000 [9 per cell]
Si1 0.0000 0.0000 0.2095 [3 per cell]
Si2 0.1055 0.7020 0.4396 [9 per cell]
Ir1 0.0000 0.0000 0.5148 [3 per cell]



Here is a PBEsol-optimized structure of Fe2SiIr from the Alexandria database. Energies are from SCAN.

abc: 5.751 5.751 5.751
angles: 90.00 90.00 90.00
Space group F-43m (No. 216)
Asymmetric unit:
Fe1 0.000 0.000 0.000 [4 per cell]
Fe2 0.250 0.250 0.250 [4 per cell]
Si1 0.250 0.250 0.750 [4 per cell]
Ir1 0.000 0.000 0.500 [4 per cell]



Here is a PBEsol-optimized structure of Fe2SiIr from the Alexandria database. Energies are from SCAN.

abc: 2.873 2.873 5.708
angles: 90.00 90.00 90.00
Space group P4mm (No. 99)
Asymmetric unit:
Fe1 0.000 0.000 0.000 [1 per cell]
Fe2 0.500 0.500 0.228 [1 per cell]
Si1 0.500 0.500 0.778 [1 per cell]
Ir1 0.000 0.000 0.520 [1 per cell]



Here is a PBEsol-optimized structure of Fe2SiIr from the Alexandria database. Energies are from SCAN.

abc: 2.801 4.151 8.147
angles: 90.00 90.00 90.00
Space group Imm2 (No. 44)
Asymmetric unit:
Fe1 0.000 0.000 0.000 [2 per cell]
Fe2 0.000 0.500 0.242 [2 per cell]
Si1 0.000 0.000 0.517 [2 per cell]
Ir1 0.000 0.500 0.775 [2 per cell]



Results for calculated volume: 11.90 12.04 11.41 11.89 11.78 11.84 (in Å³/atom, following the order of the records).
Results for calculated total energy: -118.33 -119.01 -508.18 -477.43 -119.12 -236.84 (in eV/cell, following the order of the records).
Results for E_form (uncorrected): -239 -410 -480 -496 -436 -262 (in meV/atom, following the order of the records).